[1]
{"formula": "NaNiF", "functional": "PBE+U", "state": "optimized geometry", "cell": [[-1.759, -2.925, 2.044], [-3.970, -0.210, 0.154], [-1.915, -2.904, -1.932]], "species": ["F", "Na", "Ni"], "frac_coords": [[0.000, 0.000, 0.000], [0.250, 0.250, 0.250], [0.750, 0.750, 0.750]], "polymorph_energy_kj_per_mol_atoms": 108.6, "dft_energy_ev_per_atom": -2.0679, "spacegroup": "F-43m", "n_ef_per_ev_cell": 1.6}

=====

[2]
{"formula": "NaNiF", "functional": "PBE+U", "state": "optimized geometry", "cell": [[2.981, 0.000, 0.000], [0.000, 5.372, -3.048], [0.000, 5.372, 3.048]], "species": ["F", "F", "Na", "Ni", "Ni", "Na"], "frac_coords": [[0.500, 0.824, 0.551], [0.500, 0.449, 0.176], [0.000, 0.131, 0.340], [0.000, 0.201, 0.799], [0.500, 0.536, 0.464], [0.000, 0.660, 0.869]], "polymorph_energy_kj_per_mol_atoms": 20.4, "dft_energy_ev_per_atom": -2.9826, "spacegroup": "Amm2", "n_ef_per_ev_cell": 0.4}

=====

[3]
{"formula": "NaNiF", "functional": "PBE+U", "state": "optimized geometry", "cell": [[-1.569, 0.356, 3.795], [-3.028, -2.516, 1.223], [0.751, -2.909, 2.822]], "species": ["F", "Ni", "Na"], "frac_coords": [[0.750, 0.750, 0.750], [0.500, 0.500, 0.500], [0.250, 0.250, 0.250]], "polymorph_energy_kj_per_mol_atoms": 141.0, "dft_energy_ev_per_atom": -1.7325, "spacegroup": "F-43m", "n_ef_per_ev_cell": 5.8}